This record from Alexandria via LeMat-Bulk describes crystalline BaTb2Si6 at its relaxed geometry. The functional is GGA-PBE.

## Properties
Its formation energy from raw total energies is -412 meV per atom. The calculation puts the energy at -5.2700 eV per atom.

Cell lengths 4.0642, 7.5458, 7.5458 Å; angles 72.34, 74.20, 74.20 degrees
Atoms (fractional coordinates):
1 Ba 0.9998 0.0001 0.0001
2 Tb 0.1538 0.3466 0.3466
3 Tb 0.8463 0.6534 0.6534
4 Si 0.3133 0.9413 0.4334
5 Si 0.6868 0.0587 0.5666
6 Si 0.6868 0.5666 0.0587
7 Si 0.5000 0.3543 0.6456
8 Si 0.5000 0.6456 0.3543
9 Si 0.3133 0.4334 0.9413